1.
8
Lattice="-0.2342 3.5809 4.4162 0.6794 -4.3719 3.5786 5.4295 1.0709 -4.2453" Properties=species:S:1:pos:R:3 comment="LaTb2NdS4 PBE optimized geometry" vol_a3_per_fu=184.5 e_tot_ev_per_atom=-6.457 pbc="T T T"
Tb 2.6809 2.1779 1.5812
Tb 3.1377 -1.7985 1.1624
S 2.8148 0.3895 -0.6277
S 3.0038 -0.0100 3.3711
S 0.0775 1.4444 5.7039
S 0.5343 -2.5316 5.2851
Nd 0.1946 -0.3458 3.4955
La 0.4172 -0.7413 7.4932

---

2.
15
Lattice="8.1576 -0.0001 0.0000 -4.0789 7.0643 -0.0248 0.0000 -4.6861 6.7594" Properties=species:S:1:pos:R:3 comment="La3TbNd3S8 PBE optimized geometry" vol_a3_per_fu=388.6 e_tot_ev_per_atom=-6.558 pbc="T T T"
Nd 4.0788 -2.3431 3.3797
Nd -2.0394 1.1891 3.3673
Nd 2.0394 1.1891 3.3673
S 2.0983 3.5832 4.9648
S 4.0786 0.0175 5.0279
S 6.1772 -1.2054 1.7695
S 0.0002 2.3606 1.7066
S 4.0785 2.4286 1.7568
S 0.0002 -0.0505 4.9777
S 1.9805 -1.2051 1.7697
S -2.0985 3.5835 4.9650
La 0.0000 0.0000 0.0000
La 2.0394 3.5321 -0.0124
La -2.0395 3.5322 -0.0124
Tb 0.0000 -2.3430 3.3797

---

3.
4
Lattice="-1.9364 3.2440 -2.0126 -0.0808 0.1219 -4.2781 -6.8864 -2.5799 -2.0850" Properties=species:S:1:pos:R:3 comment="LaNdTeS PBE optimized geometry" vol_a3_per_fu=114.8 e_tot_ev_per_atom=-6.052 pbc="T T T"
S -4.6417 1.8024 -6.2857
Te -7.1414 -1.2093 -4.1827
Nd -2.7134 1.4286 -4.1912
La -4.6269 -1.2339 -2.0893

---

4.
7
Lattice="-4.9419 -1.3634 1.2173 1.2047 -5.0688 -0.7865 3.9909 2.5069 7.6061" Properties=species:S:1:pos:R:3 comment="La2NdTe2S2 PBE optimized geometry" vol_a3_per_fu=225.9 e_tot_ev_per_atom=-5.718 pbc="T T T"
Te -0.5464 -3.6579 5.0881
Te 0.8001 -0.2674 2.9488
Nd 0.0000 0.0000 0.0000
S -2.4709 -0.6817 0.6087
S 0.6023 -2.5344 -0.3933
La 1.6342 -0.5461 6.0225
La -1.3805 -3.3792 2.0144